Entry 1:
First-principles (PBE) data for a relaxed structure of PPdBr3, as listed in Alexandria via LeMat-Bulk.

Cell and atoms, written as CIF:
```
data_PPdBr3
_chemical_formula_sum 'P2 Pd2 Br6'
_cell_length_a 5.938
_cell_length_b 8.006
_cell_length_c 8.786
_cell_angle_alpha 108.55
_cell_angle_beta 99.67
_cell_angle_gamma 108.29
_space_group_name_H-M_alt 'P -1'
_space_group_IT_number 2
loop_
_space_group_symop_operation_xyz
'x,y,z'
'-x,-y,-z'
loop_
_atom_site_label
_atom_site_fract_x
_atom_site_fract_y
_atom_site_fract_z
_atom_site_occupancy
P1 0.154 0.028 0.405 1
Pd1 0.129 0.841 0.555 1
Br1 0.066 0.660 0.740 1
Br2 0.134 0.890 0.139 1
Br3 0.469 0.713 0.474 1
```

## Properties
Energy ... -3.438 eV/atom
Formation energy without anion corrections ... -0.313 eV per atom
V ... 358.9 Å³/cell
Energy relative to the lowest polymorph listed for this composition ... 0 kJ/mol of formula units

---

Entry 2:
First-principles (PBE) data for a relaxed structure of P2PdBr8, as listed in Alexandria via LeMat-Bulk.

Cell and atoms, written as CIF:
```
data_P2PdBr8
_chemical_formula_sum 'P4 Pd2 Br16'
_cell_length_a 9.456
_cell_length_b 10.607
_cell_length_c 9.850
_cell_angle_alpha 90.00
_cell_angle_beta 107.57
_cell_angle_gamma 90.00
_space_group_name_H-M_alt 'C 1 2/m 1'
_space_group_IT_number 12
loop_
_space_group_symop_operation_xyz
'x,y,z'
'-x,-y,-z'
'-x,y,-z'
'x,-y,z'
'x+1/2,y+1/2,z'
'-x+1/2,-y+1/2,-z'
'-x+1/2,y+1/2,-z'
'x+1/2,-y+1/2,z'
loop_
_atom_site_label
_atom_site_fract_x
_atom_site_fract_y
_atom_site_fract_z
_atom_site_occupancy
P1 0.183 0.000 0.156 1
Pd1 0.000 0.500 0.500 1
Br1 0.172 0.500 0.357 1
Br2 0.202 0.340 0.699 1
Br3 0.209 0.500 0.016 1
```

## Properties
Energy ... -2.870 eV/atom
Formation energy without anion corrections ... -0.198 eV per atom
V ... 941.9 Å³/cell
Energy relative to the lowest polymorph listed for this composition ... 0 kJ/mol of formula units

---

Entry 3:
First-principles (PBE) data for a relaxed structure of PPdBr3, as listed in Alexandria via LeMat-Bulk.

Cell and atoms, written as CIF:
```
data_PPdBr3
_chemical_formula_sum 'P1 Pd1 Br3'
_cell_length_a 5.135
_cell_length_b 5.135
_cell_length_c 5.135
_cell_angle_alpha 90.00
_cell_angle_beta 90.00
_cell_angle_gamma 90.00
_space_group_name_H-M_alt 'P m -3 m'
_space_group_IT_number 221
_space_group_name_Hall '-P 4 2 3'
loop_
_atom_site_label
_atom_site_fract_x
_atom_site_fract_y
_atom_site_fract_z
_atom_site_occupancy
P1 0.000 0.000 0.000 1
Pd1 0.500 0.500 0.500 1
Br1 0.000 0.500 0.500 1
```

## Properties
Energy ... -2.620 eV/atom
Formation energy without anion corrections ... 0.504 eV per atom
V ... 135.4 Å³/cell
Energy relative to the lowest polymorph listed for this composition ... 394 kJ/mol of formula units

---

Entry 4:
First-principles (PBE) data for a relaxed structure of P2PdBr, as listed in Alexandria via LeMat-Bulk.

Cell and atoms, written as CIF:
```
data_P2PdBr
_chemical_formula_sum 'P8 Pd4 Br4'
_cell_length_a 6.474
_cell_length_b 6.474
_cell_length_c 6.474
_cell_angle_alpha 90.00
_cell_angle_beta 90.00
_cell_angle_gamma 90.00
_space_group_name_H-M_alt 'F m -3 m'
_space_group_IT_number 225
_space_group_name_Hall '-F 4 2 3'
loop_
_atom_site_label
_atom_site_fract_x
_atom_site_fract_y
_atom_site_fract_z
_atom_site_occupancy
P1 0.250 0.250 0.250 1
Pd1 0.000 0.000 0.000 1
Br1 0.000 0.000 0.500 1
```

## Properties
Energy ... -3.656 eV/atom
Formation energy without anion corrections ... 0.766 eV per atom
V ... 271.4 Å³/cell
Energy relative to the lowest polymorph listed for this composition ... 165 kJ/mol of formula units

---

Entry 5:
First-principles (PBE) data for a relaxed structure of Pm4PPdBr2, as listed in Alexandria via LeMat-Bulk.

Cell and atoms, written as CIF:
```
data_Pm4PPdBr2
_chemical_formula_sum 'Pm4 P1 Pd1 Br2'
_cell_length_a 7.474
_cell_length_b 4.063
_cell_length_c 7.553
_cell_angle_alpha 90.00
_cell_angle_beta 107.20
_cell_angle_gamma 90.00
_space_group_name_H-M_alt 'P 1 2/m 1'
_space_group_IT_number 10
loop_
_space_group_symop_operation_xyz
'x,y,z'
'-x,-y,-z'
'-x,y,-z'
'x,-y,z'
loop_
_atom_site_label
_atom_site_fract_x
_atom_site_fract_y
_atom_site_fract_z
_atom_site_occupancy
Pm1 0.225 0.000 0.212 1
Pm2 0.266 0.500 0.792 1
P1 0.000 0.500 0.000 1
Pd1 0.500 0.000 0.000 1
Br1 0.000 0.000 0.500 1
Br2 0.500 0.500 0.500 1
```

## Properties
Energy ... -5.320 eV/atom
Formation energy without anion corrections ... -1.201 eV per atom
V ... 219.1 Å³/cell

---

Entry 6:
First-principles (PBE) data for a relaxed structure of Pr4PPdBr2, as listed in Alexandria via LeMat-Bulk.

Cell and atoms, written as CIF:
```
data_Pr4PPdBr2
_chemical_formula_sum 'Pr4 P1 Pd1 Br2'
_cell_length_a 7.578
_cell_length_b 4.121
_cell_length_c 7.674
_cell_angle_alpha 90.00
_cell_angle_beta 107.28
_cell_angle_gamma 90.00
_space_group_name_H-M_alt 'P 1 2/m 1'
_space_group_IT_number 10
loop_
_space_group_symop_operation_xyz
'x,y,z'
'-x,-y,-z'
'-x,y,-z'
'x,-y,z'
loop_
_atom_site_label
_atom_site_fract_x
_atom_site_fract_y
_atom_site_fract_z
_atom_site_occupancy
Pr1 0.225 0.000 0.214 1
Pr2 0.265 0.500 0.790 1
P1 0.000 0.500 0.000 1
Pd1 0.500 0.000 0.000 1
Br1 0.000 0.000 0.500 1
Br2 0.500 0.500 0.500 1
```

## Properties
Energy ... -5.339 eV/atom
Formation energy without anion corrections ... -1.206 eV per atom
V ... 228.9 Å³/cell